A relaxed Er5In2 crystal, computed with PBE-GGA.

Calculated values
- space-group type = No. 63
- formation energy (eV per atom) = -0.242
- energy above the lowest structure with this stoichiometry (meV per atom) = 28

abc: 20.9525 20.9525 5.1658
angles: 90.00 90.00 169.90
With the nearest neighbours (Å) after each atom.
Fractional coordinates of all 14 atoms:
Er: 0.0253 0.9747 0.7500  10 Er 3.30-3.69, 2 In 3.38
Er: 0.1191 0.8809 0.2500  5 In 3.13-3.35
Er: 0.2388 0.7612 0.7500  4 In 3.19-3.36, 6 Er 3.31-3.47
Er: 0.3316 0.6684 0.2500  5 In 3.14-3.35, 2 Er 3.47
Er: 0.4531 0.5469 0.7500  2 In 3.22, 8 Er 3.30-3.53
Er: 0.5469 0.4531 0.2500  2 In 3.22, 8 Er 3.30-3.53
Er: 0.6684 0.3316 0.7500  5 In 3.14-3.35, 2 Er 3.47
Er: 0.7612 0.2388 0.2500  4 In 3.19-3.36, 6 Er 3.31-3.47
Er: 0.8809 0.1191 0.7500  5 In 3.13-3.35
Er: 0.9747 0.0253 0.2500  10 Er 3.30-3.69, 2 In 3.38
In: 0.1940 0.8060 0.2500  9 Er 3.13-3.36
In: 0.4069 0.5931 0.2500  9 Er 3.14-3.38
In: 0.5931 0.4069 0.7500  9 Er 3.14-3.38
In: 0.8060 0.1940 0.7500  9 Er 3.13-3.36



A relaxed Sc4TiHg5 crystal, computed with PBE-GGA.

Calculated values
- space-group type = No. 123
- formation energy (eV per atom) = -0.332

abc: 3.5317 3.5317 17.0722
angles: 90.00 90.00 90.00
With the nearest neighbours (Å) after each atom.
Fractional coordinates of all 10 atoms:
Sc: 0.0000 0.0000 0.1029  8 Hg 3.04-3.05
Sc: 0.0000 0.0000 0.3083  8 Hg 3.01-3.06, 1 Ti 3.27
Sc: 0.0000 0.0000 0.6917  8 Hg 3.01-3.06, 1 Ti 3.27
Sc: 0.0000 0.0000 0.8971  8 Hg 3.04-3.05
Ti: 0.0000 0.0000 0.5000  8 Hg 2.96, 2 Sc 3.27
Hg: 0.5000 0.5000 0.0000  8 Sc 3.05
Hg: 0.5000 0.5000 0.2049  8 Sc 3.04-3.06
Hg: 0.5000 0.5000 0.4066  4 Ti 2.96, 4 Sc 3.01, 1 Hg 3.19
Hg: 0.5000 0.5000 0.5934  4 Ti 2.96, 4 Sc 3.01, 1 Hg 3.19
Hg: 0.5000 0.5000 0.7951  8 Sc 3.04-3.06



A relaxed PaCu2Ge crystal, computed with PBE-GGA.

Calculated values
- space-group type = No. 225
- formation energy (eV per atom) = -0.104
- energy above the lowest structure with this stoichiometry (meV per atom) = 92

abc: 4.5944 4.5944 4.5944
angles: 60.00 60.00 60.00
With the nearest neighbours (Å) after each atom.
Fractional coordinates of all 4 atoms:
Pa: 0.0000 0.0000 0.0000  8 Cu 2.81
Cu: 0.2500 0.2500 0.2500  4 Ge 2.81, 4 Pa 2.81
Cu: 0.7500 0.7500 0.7500  4 Pa 2.81, 4 Ge 2.81
Ge: 0.5000 0.5000 0.5000  8 Cu 2.81



A relaxed Be2Pd5 crystal, computed with PBE-GGA.

Calculated values
- space-group type = No. 15
- formation energy (eV per atom) = -0.380

abc: 6.8341 6.8341 5.9604
angles: 96.49 96.49 42.41
With the nearest neighbours (Å) after each atom.
Fractional coordinates of all 14 atoms:
Be: 0.0819 0.7033 0.9192  7 Pd 2.28-2.49
Be: 0.2967 0.9181 0.5808  7 Pd 2.28-2.49
Be: 0.7033 0.0819 0.4192  7 Pd 2.28-2.49
Be: 0.9181 0.2967 0.0808  7 Pd 2.28-2.49
Pd: 0.1101 0.8899 0.2500  4 Be 2.29-2.33
Pd: 0.1310 0.3065 0.8116  3 Be 2.30-2.49
Pd: 0.2874 0.5236 0.5752  2 Be 2.28-2.31
Pd: 0.3065 0.1310 0.3116  3 Be 2.30-2.49
Pd: 0.4764 0.7126 0.9248  2 Be 2.28-2.31
Pd: 0.5236 0.2874 0.0752  2 Be 2.28-2.31
Pd: 0.6935 0.8690 0.6884  3 Be 2.30-2.49
Pd: 0.7126 0.4764 0.4248  2 Be 2.28-2.31
Pd: 0.8690 0.6935 0.1884  3 Be 2.30-2.49
Pd: 0.8899 0.1101 0.7500  4 Be 2.29-2.33



A relaxed MgRu2Br crystal, computed with PBE-GGA.

Calculated values
- space-group type = No. 160
- energy relative to the elements, uncorrected (eV/atom) = 0.292
- energy above the lowest structure with this stoichiometry (meV per atom) = 177

abc: 8.6393 8.6393 8.6393
angles: 20.25 20.25 20.25
With the nearest neighbours (Å) after each atom.
Fractional coordinates of all 4 atoms:
Mg: 0.0000 0.0000 0.0000  3 Ru 2.77, 3 Br 2.78, 6 Mg 3.04
Ru: 0.2491 0.2491 0.2491  3 Ru 2.59, 3 Mg 2.77
Ru: 0.5074 0.5074 0.5074  3 Ru 2.59, 3 Br 2.86
Br: 0.7518 0.7518 0.7518  3 Mg 2.78, 3 Ru 2.86, 6 Br 3.04



A relaxed In2FeIr crystal, computed with PBE-GGA.

Calculated values
- space-group type = No. 225
- formation energy (eV per atom) = 0.180

abc: 4.5287 4.5287 4.5287
angles: 60.00 60.00 60.00
With the nearest neighbours (Å) after each atom.
Fractional coordinates of all 4 atoms:
In: 0.2500 0.2500 0.2500  4 Fe 2.77, 4 Ir 2.77
In: 0.7500 0.7500 0.7500  4 Fe 2.77, 4 Ir 2.77
Fe: 0.0000 0.0000 0.0000  8 In 2.77
Ir: 0.5000 0.5000 0.5000  8 In 2.77



A relaxed YSiCl2 crystal, computed with PBE-GGA.

Calculated values
- space-group type = No. 160
- energy relative to the elements, uncorrected (eV/atom) = -0.717
- energy above the lowest structure with this stoichiometry (meV per atom) = 330

abc: 9.7632 9.7632 9.7632
angles: 20.54 20.54 20.54
With the nearest neighbours (Å) after each atom.
Fractional coordinates of all 4 atoms:
Y: 0.0000 0.0000 0.0000  3 Cl 2.71, 3 Si 2.97
Si: 0.7431 0.7431 0.7431  3 Cl 2.67, 3 Y 2.97
Cl: 0.2700 0.2700 0.2700  3 Y 2.71
Cl: 0.4714 0.4714 0.4714  3 Si 2.67



A relaxed PaB3Os3 crystal, computed with PBE-GGA.

Calculated values
- space-group type = No. 176
- formation energy (eV per atom) = -0.136

abc: 7.5687 7.5687 3.7168
angles: 90.00 90.00 120.00
With the nearest neighbours (Å) after each atom.
Fractional coordinates of all 14 atoms:
Pa: 0.3333 0.6667 0.2500  9 B 2.59-2.70
Pa: 0.6667 0.3333 0.7500  9 B 2.59-2.70
B: 0.0504 0.4419 0.7500  4 Os 2.14-2.26, 2 B 2.34
B: 0.3915 0.9496 0.7500  4 Os 2.14-2.26, 2 B 2.34
B: 0.4419 0.3915 0.2500  4 Os 2.14-2.26, 2 B 2.34
B: 0.5581 0.6085 0.7500  4 Os 2.14-2.26, 2 B 2.34
B: 0.6085 0.0504 0.2500  4 Os 2.14-2.26, 2 B 2.34
B: 0.9496 0.5581 0.2500  4 Os 2.14-2.26, 2 B 2.34
Os: 0.0675 0.7484 0.7500  4 B 2.14-2.26
Os: 0.2516 0.3191 0.7500  4 B 2.14-2.26
Os: 0.3191 0.0675 0.2500  4 B 2.14-2.26
Os: 0.6809 0.9325 0.7500  4 B 2.14-2.26
Os: 0.7484 0.6809 0.2500  4 B 2.14-2.26
Os: 0.9325 0.2516 0.2500  4 B 2.14-2.26



A relaxed TiFe3Ag crystal, computed with PBE-GGA.

Calculated values
- space-group type = No. 221
- formation energy (eV per atom) = 1.103
- energy above the lowest structure with this stoichiometry (meV per atom) = 0

abc: 4.3415 4.3415 4.3415
angles: 90.00 90.00 90.00
With the nearest neighbours (Å) after each atom.
Fractional coordinates of all 5 atoms:
Ti: 0.0000 0.0000 0.0000  6 Fe 2.17
Fe: 0.0000 0.0000 0.5000  2 Ti 2.17
Fe: 0.0000 0.5000 0.0000  2 Ti 2.17
Fe: 0.5000 0.0000 0.0000  2 Ti 2.17
Ag: 0.5000 0.5000 0.5000  12 Fe 3.07



A relaxed RbCaZn3 crystal, computed with PBE-GGA.

Calculated values
- space-group type = No. 221
- formation energy (eV per atom) = 0.729
- energy above the lowest structure with this stoichiometry (meV per atom) = 353

abc: 5.8827 5.8827 5.8827
angles: 90.00 90.00 90.00
With the nearest neighbours (Å) after each atom.
Fractional coordinates of all 5 atoms:
Rb: 0.0000 0.0000 0.0000  6 Zn 2.94
Ca: 0.5000 0.5000 0.5000  12 Zn 4.16
Zn: 0.0000 0.0000 0.5000  2 Rb 2.94
Zn: 0.0000 0.5000 0.0000  2 Rb 2.94
Zn: 0.5000 0.0000 0.0000  2 Rb 2.94



A relaxed Zr3Bi2Rh crystal, computed with PBE-GGA.

Calculated values
- space-group type = No. 62
- formation energy (eV per atom) = -0.387

abc: 12.8667 4.1382 10.4039
angles: 90.00 90.00 90.00
With the nearest neighbours (Å) after each atom.
Fractional coordinates of all 24 atoms:
Zr: 0.0846 0.2500 0.0669  1 Rh 2.91, 5 Bi 2.99-3.26, 2 Zr 3.26
Zr: 0.1057 0.7500 0.5322  3 Rh 2.72-2.84
Zr: 0.2227 0.7500 0.2385  2 Rh 2.97, 5 Bi 3.05-3.33, 2 Zr 3.26
Zr: 0.2773 0.2500 0.7385  2 Rh 2.97, 5 Bi 3.05-3.33, 2 Zr 3.26
Zr: 0.3943 0.2500 0.0322  3 Rh 2.72-2.84
Zr: 0.4154 0.7500 0.5669  1 Rh 2.91, 5 Bi 2.99-3.26, 2 Zr 3.26
Zr: 0.5846 0.2500 0.4331  1 Rh 2.91, 5 Bi 2.99-3.26, 2 Zr 3.26
Zr: 0.6057 0.7500 0.9678  3 Rh 2.72-2.84
Zr: 0.7227 0.7500 0.2615  2 Rh 2.97, 5 Bi 3.05-3.33, 2 Zr 3.26
Zr: 0.7773 0.2500 0.7615  2 Rh 2.97, 5 Bi 3.05-3.33, 2 Zr 3.26
Zr: 0.8943 0.2500 0.4678  3 Rh 2.72-2.84
Zr: 0.9154 0.7500 0.9331  1 Rh 2.91, 5 Bi 2.99-3.26, 2 Zr 3.26
Bi: 0.0359 0.2500 0.7597  2 Rh 2.79, 1 Zr 3.11
Bi: 0.2199 0.7500 0.9450  1 Rh 2.75, 5 Zr 2.99-3.07
Bi: 0.2801 0.2500 0.4450  1 Rh 2.75, 5 Zr 2.99-3.07
Bi: 0.4641 0.7500 0.2597  2 Rh 2.79, 1 Zr 3.11
Bi: 0.5359 0.2500 0.7403  2 Rh 2.79, 1 Zr 3.11
Bi: 0.7199 0.7500 0.5550  1 Rh 2.75, 5 Zr 2.99-3.07
Bi: 0.7801 0.2500 0.0550  1 Rh 2.75, 5 Zr 2.99-3.07
Bi: 0.9641 0.7500 0.2403  2 Rh 2.79, 1 Zr 3.11
Rh: 0.0820 0.2500 0.3469  6 Zr 2.72-2.97, 3 Bi 2.75-2.79
Rh: 0.4180 0.7500 0.8469  6 Zr 2.72-2.97, 3 Bi 2.75-2.79
Rh: 0.5820 0.2500 0.1531  6 Zr 2.72-2.97, 3 Bi 2.75-2.79
Rh: 0.9180 0.7500 0.6531  6 Zr 2.72-2.97, 3 Bi 2.75-2.79



A relaxed Cs3CaIn3I8 crystal, computed with PBE-GGA.

Calculated values
- space-group type = No. 12
- energy relative to the elements, uncorrected (eV/atom) = -1.120

abc: 10.1911 10.1911 10.6527
angles: 118.62 118.62 59.95
With the nearest neighbours (Å) after each atom.
Fractional coordinates of all 15 atoms:
Cs: 0.0000 0.0000 0.0000  6 I 3.83-3.87
Cs: 0.0000 0.5000 0.0000  6 I 3.84-3.87
Cs: 0.5000 0.0000 0.0000  6 I 3.84-3.87
Ca: 0.0000 0.0000 0.5000  6 I 3.19
In: 0.0000 0.5000 0.5000  6 I 3.54-3.57
In: 0.5000 0.0000 0.5000  6 I 3.54-3.57
In: 0.5000 0.5000 0.5000  6 I 3.55-3.57
I: 0.2169 0.2169 0.7003  1 Ca 3.19, 2 In 3.57
I: 0.2167 0.7666 0.7002  1 Ca 3.19, 2 In 3.57
I: 0.2334 0.7833 0.2998  1 Ca 3.19, 2 In 3.57
I: 0.2590 0.2590 0.2775  3 In 3.54-3.55, 3 Cs 3.83-3.84
I: 0.7410 0.7410 0.7225  3 In 3.54-3.55, 3 Cs 3.83-3.84
I: 0.7666 0.2167 0.7002  1 Ca 3.19, 2 In 3.57
I: 0.7833 0.2334 0.2998  1 Ca 3.19, 2 In 3.57
I: 0.7831 0.7831 0.2997  1 Ca 3.19, 2 In 3.57